# 1
Here is a relaxed NaAg2HgBr4 crystal from Alexandria via LeMat-Bulk. Energies are from PBE.

Cell: 6.435 6.435 8.121 Å, 113.37 113.37 89.93°
Atoms (fractional coordinates):
Br1 0.621 0.621 0.724
Ag1 0.250 0.750 0.500
Ag2 0.750 0.250 0.500
Br2 0.898 0.378 0.276
Hg1 0.501 0.501 0.001
Na1 0.999 0.999 0.999
Br3 0.378 0.898 0.276
Br4 0.104 0.104 0.724

Computed properties:
**Space group**: No. 42
**Crystal system**: orthorhombic
**E_form (uncorrected)**: -423 kJ/mol of formula units

=====

# 2
Here is a relaxed BeZn2Re crystal from Alexandria via LeMat-Bulk. Energies are from PBE.

Cell: 2.631 3.762 5.395 Å, 90.00 90.00 90.00°
Atoms (fractional coordinates):
Be1 0.000 0.000 0.536
Zn1 0.000 0.000 0.993
Zn2 0.500 0.500 0.245
Re1 0.500 0.500 0.725

Computed properties:
**Space group**: No. 25
**Formation energy from the elements**: 0.8 eV per formula unit
**Crystal system**: orthorhombic

=====

# 3
Here is a relaxed ZrRu2Rh crystal from Alexandria via LeMat-Bulk. Energies are from PBE.

Cell: 4.882 4.882 4.882 Å, 132.04 132.03 70.18°
Atoms (fractional coordinates):
Ru1 0.500 0.500 0.000
Zr1 0.750 0.250 0.500
Rh1 0.250 0.750 0.500
Ru2 0.000 0.000 0.000

Computed properties:
**Space group**: No. 139
**Formation energy from the elements**: -0.8 eV per formula unit
**Crystal system**: tetragonal

=====

# 4
Here is a relaxed Sm3Te12Pd5 crystal from Alexandria via LeMat-Bulk. Energies are from PBE.

Cell: 14.659 14.659 14.659 Å, 109.47 109.47 109.47°
Atoms (fractional coordinates):
Te1 0.793 0.328 0.917
Te2 0.377 0.965 0.793
Te3 0.912 0.828 0.535
Pd1 0.125 0.375 0.250
Pd2 0.375 0.250 0.125
Pd3 0.125 0.750 0.375
Te4 0.328 0.535 0.412
Te5 0.207 0.672 0.083
Pd4 0.500 0.500 0.500
Te6 0.083 0.172 0.207
Te7 0.583 0.877 0.412
Te8 0.412 0.377 0.583
Te9 0.417 0.293 0.328
Te10 0.828 0.917 0.293
Te11 0.465 0.793 0.877
Pd5 0.500 0.000 0.000
Te12 0.417 0.123 0.588
Sm1 0.250 0.125 0.375
Te13 0.793 0.465 0.377
Te14 0.707 0.123 0.035
Pd6 0.750 0.625 0.375
Pd7 0.250 0.875 0.125
Pd8 0.625 0.750 0.875
Sm2 0.375 0.750 0.625
Pd9 0.250 0.375 0.625
Te15 0.588 0.623 0.417
Te16 0.088 0.917 0.123
Te17 0.172 0.083 0.707
Te18 0.623 0.035 0.207
Sm3 0.750 0.375 0.125
Te19 0.328 0.793 0.417
Te20 0.088 0.172 0.465
Te21 0.672 0.207 0.583
Te22 0.917 0.828 0.793
Te23 0.293 0.417 0.828
Sm4 0.875 0.125 0.250
Pd10 0.750 0.125 0.875
Sm5 0.875 0.750 0.125
Te24 0.083 0.912 0.377
Te25 0.623 0.588 0.917
Pd11 0.625 0.875 0.250
Pd12 0.000 0.000 0.500
Te26 0.672 0.465 0.588
Te27 0.535 0.207 0.123
Te28 0.123 0.707 0.535
Te29 0.583 0.707 0.672
Te30 0.123 0.417 0.088
Pd13 0.000 0.500 0.500
Pd14 0.000 0.500 0.000
Te31 0.965 0.588 0.172
Te32 0.965 0.377 0.293
Te33 0.877 0.293 0.465
Sm6 0.125 0.875 0.750
Sm7 0.625 0.375 0.750
Te34 0.412 0.035 0.328
Te35 0.588 0.965 0.672
Pd15 0.500 0.500 0.000
Pd16 0.875 0.250 0.625
Sm8 0.375 0.625 0.250
Sm9 0.125 0.250 0.875
Te36 0.035 0.623 0.707
Te37 0.912 0.083 0.877
Sm10 0.625 0.250 0.375
Te38 0.465 0.672 0.088
Pd17 0.375 0.125 0.750
Sm11 0.250 0.625 0.875
Te39 0.707 0.583 0.172
Te40 0.377 0.412 0.083
Te41 0.207 0.535 0.623
Pd18 0.875 0.625 0.750
Te42 0.035 0.412 0.828
Te43 0.535 0.328 0.912
Te44 0.877 0.583 0.912
Pd19 0.500 0.000 0.500
Te45 0.293 0.877 0.965
Te46 0.828 0.912 0.035
Pd20 0.000 0.000 0.000
Te47 0.917 0.088 0.623
Sm12 0.750 0.875 0.625
Te48 0.172 0.088 0.965

Computed properties:
**Space group**: No. 230
**Crystal system**: cubic
**E_form (uncorrected)**: -1134 kJ/mol of formula units